Here is a relaxed LaPr2Zn2Ag2 crystal from Alexandria. Energies are from PBE-GGA.

Lattice parameters (Å, degrees): 4.7259 4.7259 28.0836 90.00 90.00 120.00
Space group R-3m (No. 166, hexagonal axes)
Inequivalent atoms, fractional coordinates:
La 0.0000 0.0000 0.0000 x3
Pr 0.0000 0.0000 0.1249 x6
Zn 0.0000 0.0000 0.2607 x6
Ag 0.0000 0.0000 0.4004 x6

Output
The volume is 25.9 A^3/atom. For the formation energy, the calculation gives -0.239 eV per atom. As for the total energy: -3.487 eV per atom. The total magnetic moment comes out at 0.0 μB/cell.